Entry from the Alexandria database: a geometry-optimized ErInCoPt structure (GGA-PBE).

a = 6.618 Å, b = 6.618 Å, c = 6.618 Å
α = 90.00°, β = 90.00°, γ = 90.00°
Space group F-43m (No. 216)
Inequivalent atoms, fractional coordinates:
Er1 0.000 0.000 0.000
In1 0.000 0.000 0.500
Co1 0.250 0.250 0.250
Pt1 0.250 0.250 0.750

Properties
ΔH_f (0 K), eV per atom: -0.537
Density, Mg/m³: 12.28

Entry from the Alexandria database: a geometry-optimized TaSe2Br structure (GGA-PBE).

a = 6.774 Å, b = 6.774 Å, c = 6.774 Å
α = 90.00°, β = 90.00°, γ = 90.00°
Space group Fm-3m (No. 225)
Inequivalent atoms, fractional coordinates:
Ta1 0.000 0.000 0.000
Se1 0.250 0.250 0.250
Br1 0.000 0.000 0.500

Properties
Formation energy (no corrections), eV per atom: 0.298
Density, Mg/m³: 8.95
Offset from the most stable computed form, meV per atom: 986

Entry from the Alexandria database: a geometry-optimized CrRe2As structure (GGA-PBE).

a = 8.935 Å, b = 2.885 Å, c = 4.597 Å
α = 90.00°, β = 98.30°, γ = 90.00°
Space group C2/m (No. 12)
Inequivalent atoms, fractional coordinates:
Cr1 0.000 0.000 0.000
Re1 0.231 0.500 0.233
As1 0.000 0.500 0.500

Properties
ΔH_f (0 K), eV per atom: 0.272
Density, Mg/m³: 14.14

Entry from the Alexandria database: a geometry-optimized BaTl2Ir2 structure (GGA-PBE).

a = 8.373 Å, b = 8.373 Å, c = 3.204 Å
α = 90.00°, β = 90.00°, γ = 90.00°
Space group P4/mbm (No. 127)
Inequivalent atoms, fractional coordinates:
Ba1 0.000 0.000 0.000
Tl1 0.142 0.358 0.500
Ir1 0.152 0.652 0.000

Properties
ΔH_f (0 K), eV per atom: 0.270
Density, Mg/m³: 13.76
Offset from the most stable computed form, meV per atom: 270

Question: Among the records above, which one has the lowest density?
Answer: TaSe2Br